(1)
{"formula": "MnZnSe2", "functional": "GGA-PBEsol", "state": "optimized geometry", "dos_at_fermi_per_ev_atom": 0.028, "energy_ev_per_atom": -5.17, "total_magnetization_mub_per_cell": 5.00, "formation_energy_uncorrected_ev_per_atom": -0.410, "lattice_angstrom": [[2.022, 1.168, 6.620], [-2.022, 1.168, 6.620], [0.000, -2.335, 6.620]], "species": ["Mn", "Zn", "Se", "Se"], "frac_coords": [[0.000, 0.000, 0.000], [0.501, 0.501, 0.501], [0.378, 0.378, 0.378], [0.874, 0.874, 0.874]]}



(2)
{"formula": "MnZnSe2", "functional": "GGA-PBEsol", "state": "optimized geometry", "dos_at_fermi_per_ev_atom": 0.498, "energy_ev_per_atom": -4.91, "total_magnetization_mub_per_cell": 4.29, "formation_energy_uncorrected_ev_per_atom": -0.153, "lattice_angstrom": [[-1.724, 1.757, 6.050], [1.724, -1.757, 6.050], [1.724, 1.757, -6.050]], "species": ["Mn", "Zn", "Se", "Se"], "frac_coords": [[0.000, 0.000, 0.000], [0.261, 0.761, 0.500], [0.585, 0.585, 0.000], [0.839, 0.339, 0.500]]}



(3)
{"formula": "MnZnSe2", "functional": "GGA-PBEsol", "state": "optimized geometry", "dos_at_fermi_per_ev_atom": 0.010, "energy_ev_per_atom": -5.17, "total_magnetization_mub_per_cell": 5.00, "formation_energy_uncorrected_ev_per_atom": -0.407, "lattice_angstrom": [[4.043, 0.000, 0.000], [-2.021, 3.501, 0.000], [0.000, 0.000, 6.634]], "species": ["Mn", "Zn", "Se", "Se"], "frac_coords": [[0.000, 0.000, 0.000], [0.667, 0.333, 0.497], [0.000, 0.000, 0.377], [0.667, 0.333, 0.865]]}



(4)
{"formula": "Zr2MnSe", "functional": "GGA-PBEsol", "state": "optimized geometry", "dos_at_fermi_per_ev_atom": 0.834, "energy_ev_per_atom": -8.30, "total_magnetization_mub_per_cell": 2.47, "formation_energy_uncorrected_ev_per_atom": -0.351, "lattice_angstrom": [[3.512, 0.000, 0.000], [0.000, 3.512, 0.000], [0.000, 0.000, 5.901]], "species": ["Zr", "Zr", "Mn", "Se"], "frac_coords": [[0.000, 0.000, 0.000], [0.500, 0.500, 0.306], [0.500, 0.500, 0.791], [0.000, 0.000, 0.516]]}



(5)
{"formula": "ZrMnSe2", "functional": "GGA-PBEsol", "state": "optimized geometry", "dos_at_fermi_per_ev_atom": 0.444, "energy_ev_per_atom": -7.29, "polymorph_energy_ev_per_atom": 0.068, "total_magnetization_mub_per_cell": 3.26, "formation_energy_uncorrected_ev_per_atom": -0.652, "lattice_angstrom": [[4.526, 0.000, 0.000], [0.000, 4.526, 0.000], [0.000, 0.000, 3.310]], "species": ["Zr", "Mn", "Se", "Se"], "frac_coords": [[0.000, 0.000, 0.000], [0.500, 0.500, 0.000], [0.000, 0.500, 0.500], [0.500, 0.000, 0.500]]}



(6)
{"formula": "ZrMnSe", "functional": "GGA-PBEsol", "state": "optimized geometry", "dos_at_fermi_per_ev_atom": 0.919, "energy_ev_per_atom": -7.89, "polymorph_energy_ev_per_atom": 0.026, "total_magnetization_mub_per_cell": 1.00, "formation_energy_uncorrected_ev_per_atom": -0.318, "lattice_angstrom": [[0.000, 2.916, 2.916], [2.916, 0.000, 2.916], [2.916, 2.916, 0.000]], "species": ["Zr", "Mn", "Se"], "frac_coords": [[0.000, 0.000, 0.000], [0.250, 0.250, 0.250], [0.500, 0.500, 0.500]]}



(7)
{"formula": "ZrMn2Se", "functional": "GGA-PBEsol", "state": "optimized geometry", "dos_at_fermi_per_ev_atom": 0.547, "energy_ev_per_atom": -8.27, "total_magnetization_mub_per_cell": 0.37, "formation_energy_uncorrected_ev_per_atom": -0.158, "lattice_angstrom": [[3.259, 0.000, 0.000], [0.000, 3.259, 0.000], [0.000, 0.000, 5.944]], "species": ["Zr", "Mn", "Mn", "Se"], "frac_coords": [[0.000, 0.000, 0.000], [0.000, 0.000, 0.488], [0.500, 0.500, 0.316], [0.500, 0.500, 0.745]]}



(8)
{"formula": "ZrMnSe2", "functional": "GGA-PBEsol", "state": "optimized geometry", "dos_at_fermi_per_ev_atom": 0.434, "energy_ev_per_atom": -7.36, "polymorph_energy_ev_per_atom": 0.000, "total_magnetization_mub_per_cell": 4.87, "formation_energy_uncorrected_ev_per_atom": -0.720, "lattice_angstrom": [[1.799, 1.039, 6.806], [-1.799, 1.039, 6.806], [0.000, -2.077, 6.806]], "species": ["Zr", "Mn", "Se", "Se"], "frac_coords": [[0.000, 0.000, 0.000], [0.500, 0.500, 0.500], [0.245, 0.245, 0.245], [0.755, 0.755, 0.755]]}